[1]
Below is an optimized crystal structure of Mg3Tl4In, with properties calculated at the GGA-PBE level.

a = 3.5553 Å, b = 3.5553 Å, c = 16.4021 Å
α = 90.00°, β = 90.00°, γ = 90.00°
Element x y z (fractional)
Mg1 0.0000 0.0000 0.0000
Mg2 0.0000 0.0000 0.2344
Mg3 0.0000 0.0000 0.7656
Tl1 0.5000 0.5000 0.1185
Tl2 0.5000 0.5000 0.3565
Tl3 0.5000 0.5000 0.6435
Tl4 0.5000 0.5000 0.8815
In1 0.0000 0.0000 0.5000

Values from the calculation:
- Total moment: 0.00 μB per cell
- Formation energy: -0.091 eV per formula unit
- Density: 8.05 g cm⁻³

***

[2]
Below is an optimized crystal structure of CsSiH, with properties calculated at the GGA-PBE level.

a = 6.1903 Å, b = 6.1903 Å, c = 3.4679 Å
α = 90.45°, β = 90.45°, γ = 32.41°
Element x y z (fractional)
Cs1 0.0000 0.0000 0.0000
Si1 0.2695 0.2695 0.4987
H1 0.7036 0.7036 0.4978

Values from the calculation:
- Total moment: 0.00 μB per cell
- Density: 3.78 g cm⁻³
- Final energy: -0.0990 hartree per atom

***

[3]
Below is an optimized crystal structure of Ta2NiGe, with properties calculated at the GGA-PBE level.

a = 5.6324 Å, b = 5.6324 Å, c = 5.6324 Å
α = 103.92°, β = 103.92°, γ = 121.26°
Element x y z (fractional)
Ta1 0.1085 0.6250 0.9835
Ta2 0.3750 0.3585 0.4835
Ta3 0.6415 0.1250 0.0165
Ta4 0.8750 0.8915 0.5165
Ni1 0.0000 0.0000 0.0000
Ni2 0.7500 0.2500 0.5000
Ge1 0.2500 0.7500 0.5000
Ge2 0.5000 0.5000 0.0000

Values from the calculation:
- Total moment: 0.00 μB per cell
- Formation energy: 0.621 eV per formula unit
- Density: 12.31 g cm⁻³